1.
## HgTeOsO (PBE)

Data for a geometry-optimized HgTeOsO structure.

Output
V = 20.1 Å³/atom

Cell lengths 4.0742, 4.0742, 9.6931 Å; angles 90.00, 90.00, 90.00 degrees
With the nearest neighbours (Å) after each atom.
Space group P4/nmm (No. 129, origin choice 2)
Unique sites:
1 Hg 0.2500 0.7500 0.0000 x2  4 Hg 2.88
2 Te 0.2500 0.2500 0.2873 x2  1 Os 2.69, 4 O 2.90
3 Os 0.2500 0.2500 0.5650 x2  4 O 2.13
4 O 0.2500 0.7500 0.5000 x2  4 Os 2.13


2.
## HgTeOsO (PBE)

Data for a geometry-optimized HgTeOsO structure.

Output
V = 24.1 Å³/atom

Cell lengths 3.7599, 6.9653, 7.3737 Å; angles 90.00, 90.00, 90.00 degrees
With the nearest neighbours (Å) after each atom.
Space group Pmc2_1 (No. 26)
Unique sites:
1 Hg 0.0000 0.2190 0.0000 x2  2 Os 2.86, 1 Te 3.05
2 Te 0.0000 0.2145 0.5559 x2  2 Os 2.61
3 Os 0.5000 0.4726 0.5310 x2  2 O 1.85-1.86
4 O 0.5000 0.4868 0.2801 x2  2 Os 1.85-1.86


2 is the most stable structure; the next one sits 66.4 kJ/mol of atoms above it.


1.
## Hg3PO4 (PBE)

Data for a geometry-optimized Hg3PO4 structure.

Output
V = 17.6 Å³/atom

Cell lengths 7.9754, 8.1039, 9.9961 Å; angles 90.00, 119.27, 90.00 degrees
With the nearest neighbours (Å) after each atom.
Space group P2_1/c (No. 14)
Unique sites:
1 Hg 0.0623 0.2164 0.0682 x4  3 O 2.39-2.41, 1 Hg 2.56
2 Hg 0.3594 0.0471 0.1205 x4  1 O 2.16
3 Hg 0.3603 0.6000 0.9690 x4  1 O 2.23
4 P 0.1978 0.5634 0.2465 x4  4 O 1.54-1.58
5 O 0.0061 0.0300 0.6617 x4  1 P 1.54
6 O 0.2000 0.6640 0.3822 x4  1 P 1.58
7 O 0.2335 0.6868 0.1435 x4  1 P 1.56
8 O 0.3662 0.0655 0.8180 x4  1 P 1.57


2.
## Hg3PO4 (PBE)

Data for a geometry-optimized Hg3PO4 structure.

Output
V = 16.4 Å³/atom

Cell lengths 8.5650, 5.0229, 14.3556 Å; angles 90.00, 122.02, 90.00 degrees
With the nearest neighbours (Å) after each atom.
Space group P2_1/c (No. 14)
Unique sites:
1 Hg 0.0513 0.1369 0.0883 x4  2 O 2.22-2.44
2 Hg 0.2684 0.1528 0.4543 x4  1 O 2.21
3 Hg 0.4335 0.6613 0.1221 x4  1 O 2.23
4 P 0.2381 0.6324 0.2752 x4  4 O 1.55-1.57
5 O 0.0700 0.5276 0.1658 x4  1 P 1.55
6 O 0.2294 0.5460 0.3762 x4  1 P 1.55
7 O 0.2380 0.5585 0.7711 x4  1 P 1.55
8 O 0.4196 0.5277 0.2855 x4  1 P 1.57


1 is the most stable structure; the next one sits 1.0 kJ/mol of atoms above it.


1.
## HgPPbO (PBE)

Data for a geometry-optimized HgPPbO structure.

Output
V = 21.3 Å³/atom

Cell lengths 4.1415, 4.1415, 9.9238 Å; angles 90.00, 90.00, 90.00 degrees
With the nearest neighbours (Å) after each atom.
Space group P4/nmm (No. 129, origin choice 2)
Unique sites:
1 Hg 0.2500 0.7500 0.0000 x2  4 P 2.69, 4 Hg 2.93
2 P 0.2500 0.2500 0.1737 x2  4 Hg 2.69
3 Pb 0.2500 0.2500 0.6167 x2  4 O 2.37
4 O 0.2500 0.7500 0.5000 x2  4 Pb 2.37


2.
## HgPPbO (PBE)

Data for a geometry-optimized HgPPbO structure.

Output
V = 23.6 Å³/atom

Cell lengths 4.0338, 6.7707, 6.9050 Å; angles 90.00, 90.00, 90.00 degrees
With the nearest neighbours (Å) after each atom.
Space group Pmc2_1 (No. 26)
Unique sites:
1 Hg 0.0000 0.1726 0.0000 x2  2 O 2.50, 2 P 2.50-2.52
2 P 0.0000 0.1706 0.3648 x2  2 Hg 2.50-2.52, 2 Pb 2.68
3 Pb 0.5000 0.3567 0.5444 x2  2 O 2.25-2.34
4 O 0.5000 0.3550 0.8830 x2  2 Pb 2.25-2.34, 2 Hg 2.50


3.
## HgPPbO (PBE)

Data for a geometry-optimized HgPPbO structure.

Output
V = 25.2 Å³/atom

Cell lengths 4.7373, 4.7373, 8.9852 Å; angles 90.00, 90.00, 90.00 degrees
With the nearest neighbours (Å) after each atom.
Space group P4/nmm (No. 129, origin choice 2)
Unique sites:
1 Hg 0.2500 0.2500 0.0365 x2  4 O 2.39
2 P 0.2500 0.2500 0.3393 x2  1 Hg 2.72, 4 Pb 2.77
3 Pb 0.2500 0.7500 0.5000 x2  4 P 2.77
4 O 0.2500 0.7500 0.0000 x2  4 Hg 2.39


1 is the most stable structure; the next one sits 7.5 kJ/mol of atoms above it.